Record 1
# PBE GdMgZn, optimized geometry
data_GdMgZn
_chemical_formula_sum 'Gd2 Mg2 Zn2'
_cell_length_a 4.6301
_cell_length_b 4.6301
_cell_length_c 7.4488
_cell_angle_alpha 90.00
_cell_angle_beta 90.00
_cell_angle_gamma 120.00
_space_group_name_H-M_alt 'P 1'
_space_group_IT_number 1
loop_
_space_group_symop_operation_xyz
'x,y,z'
loop_
_atom_site_label
_atom_site_type_symbol
_atom_site_fract_x
_atom_site_fract_y
_atom_site_fract_z
_atom_site_occupancy
Gd1 Gd 0.3333 0.6667 0.1392 1
Gd2 Gd 0.6667 0.3333 0.8608 1
Mg1 Mg 0.3333 0.6667 0.5981 1
Mg2 Mg 0.6667 0.3333 0.4019 1
Zn1 Zn 0.0000 0.0000 0.3193 1
Zn2 Zn 0.0000 0.0000 0.6807 1
# Total DFT energy (no corrections)   -15.22 eV for the cell shown

Record 2
# PBE DyHo2Mg3InGa2, optimized geometry
data_DyHo2Mg3InGa2
_chemical_formula_sum 'Dy1 Ho2 Mg3 In1 Ga2'
_cell_length_a 4.5453
_cell_length_b 7.3054
_cell_length_c 7.3054
_cell_angle_alpha 120.08
_cell_angle_beta 90.00
_cell_angle_gamma 90.00
_space_group_name_H-M_alt 'P 1'
_space_group_IT_number 1
loop_
_space_group_symop_operation_xyz
'x,y,z'
loop_
_atom_site_label
_atom_site_type_symbol
_atom_site_fract_x
_atom_site_fract_y
_atom_site_fract_z
_atom_site_occupancy
Dy1 Dy 0.0000 0.0000 0.0000 1
Ho1 Ho 0.0000 0.1246 0.5623 1
Ho2 Ho 0.0000 0.5623 0.1246 1
Mg1 Mg 0.5000 0.3122 0.3122 1
Mg2 Mg 0.5000 0.5620 0.8122 1
Mg3 Mg 0.5000 0.8122 0.5620 1
In1 In 0.0000 0.5614 0.5614 1
Ga1 Ga 0.5000 0.2292 0.8952 1
Ga2 Ga 0.5000 0.8952 0.2292 1
# Total DFT energy (no corrections)   -31.31 eV for the cell shown